No. 1
## NdSi2Rh4 (PBE)

Data for a geometry-optimized NdSi2Rh4 structure.

Properties
electronic total energy: -7.2789 eV/atom
raw formation energy: -5.9 eV per formula unit

The structure in CIF format:
```
data_NdSi2Rh4
_chemical_formula_sum 'Nd2 Si4 Rh8'
_cell_length_a 7.710
_cell_length_b 7.710
_cell_length_c 3.792
_cell_angle_alpha 90.00
_cell_angle_beta 90.00
_cell_angle_gamma 90.00
_symmetry_space_group_name_H-M 'P 42/m n m'
_symmetry_Int_Tables_number 136
_symmetry_space_group_name_Hall '-P 4n 2n'
loop_
_atom_site_label
_atom_site_fract_x
_atom_site_fract_y
_atom_site_fract_z
_atom_site_occupancy
Nd1 0.000 0.000 0.000 1
Si1 0.228 0.228 0.500 1
Rh1 0.076 0.668 0.500 1
```

***

No. 2
## NdSmSiRh (PBE)

Data for a geometry-optimized NdSmSiRh structure.

Properties
electronic total energy: -6.3304 eV/atom
raw formation energy: -3.1 eV per formula unit

The structure in CIF format:
```
data_NdSmSiRh
_chemical_formula_sum 'Nd2 Sm2 Si2 Rh2'
_cell_length_a 4.129
_cell_length_b 4.291
_cell_length_c 10.642
_cell_angle_alpha 90.00
_cell_angle_beta 90.00
_cell_angle_gamma 90.00
_symmetry_space_group_name_H-M 'A m m 2'
_symmetry_Int_Tables_number 38
_symmetry_space_group_name_Hall 'A 2 -2'
loop_
_atom_site_label
_atom_site_fract_x
_atom_site_fract_y
_atom_site_fract_z
_atom_site_occupancy
Nd1 0.000 0.000 0.000 1
Sm1 0.500 0.000 0.282 1
Si1 0.500 0.000 0.579 1
Rh1 0.000 0.000 0.717 1
```

***

No. 3
## Nd2Sm2SiRh4 (PBE)

Data for a geometry-optimized Nd2Sm2SiRh4 structure.

Properties
electronic total energy: -6.4767 eV/atom
raw formation energy: -4.5 eV per formula unit

The structure in CIF format:
```
data_Nd2Sm2SiRh4
_chemical_formula_sum 'Nd4 Sm4 Si2 Rh8'
_cell_length_a 6.636
_cell_length_b 6.636
_cell_length_c 8.936
_cell_angle_alpha 90.00
_cell_angle_beta 90.00
_cell_angle_gamma 90.00
_symmetry_space_group_name_H-M 'I 4/m m m'
_symmetry_Int_Tables_number 139
_symmetry_space_group_name_Hall '-I 4 2'
loop_
_atom_site_label
_atom_site_fract_x
_atom_site_fract_y
_atom_site_fract_z
_atom_site_occupancy
Nd1 0.000 0.500 0.250 1
Sm1 0.000 0.000 0.183 1
Si1 0.000 0.000 0.500 1
Rh1 0.248 0.248 0.500 1
```

***

No. 4
## Nd3Si2SnRh9 (PBE)

Data for a geometry-optimized Nd3Si2SnRh9 structure.

Properties
electronic total energy: -6.8073 eV/atom
raw formation energy: -6.8 eV per formula unit

The structure in CIF format:
```
data_Nd3Si2SnRh9
_chemical_formula_sum 'Nd3 Si2 Sn1 Rh9'
_cell_length_a 6.7712
_cell_length_b 6.7712
_cell_length_c 7.4287
_cell_angle_alpha 90.00
_cell_angle_beta 90.00
_cell_angle_gamma 120.00
_symmetry_space_group_name_H-M 'P -3 m 1'
_symmetry_Int_Tables_number 164
_symmetry_space_group_name_Hall '-P 3 2"'
loop_
_atom_site_label
_atom_site_fract_x
_atom_site_fract_y
_atom_site_fract_z
_atom_site_occupancy
Nd1 0.0000 0.0000 0.0000 1
Nd2 0.3333 0.6667 0.6707 1
Si1 0.3333 0.6667 0.1430 1
Sn1 0.0000 0.0000 0.5000 1
Rh1 0.0000 0.5000 0.0000 1
Rh2 0.1887 0.3774 0.3424 1
```

***

No. 5
## Nd2SiSnRh6 (PBE)

Data for a geometry-optimized Nd2SiSnRh6 structure.

Properties
electronic total energy: -6.8741 eV/atom
raw formation energy: -5.7 eV per formula unit

The structure in CIF format:
```
data_Nd2SiSnRh6
_chemical_formula_sum 'Nd2 Si1 Sn1 Rh6'
_cell_length_a 5.558
_cell_length_b 6.258
_cell_length_c 6.624
_cell_angle_alpha 85.50
_cell_angle_beta 65.23
_cell_angle_gamma 63.73
_symmetry_space_group_name_H-M 'P -1'
_symmetry_Int_Tables_number 2
_symmetry_space_group_name_Hall '-P 1'
loop_
_atom_site_label
_atom_site_fract_x
_atom_site_fract_y
_atom_site_fract_z
_atom_site_occupancy
Nd1 0.248 0.257 0.248 1
Si1 0.500 0.500 0.500 1
Sn1 0.000 0.000 0.000 1
Rh1 0.208 0.311 0.785 1
Rh2 0.256 0.928 0.561 1
Rh3 0.302 0.690 0.215 1
```

***

No. 6
## TbNdSiRh (PBE)

Data for a geometry-optimized TbNdSiRh structure.

Properties
electronic total energy: -6.3318 eV/atom
raw formation energy: -3.2 eV per formula unit

The structure in CIF format:
```
data_TbNdSiRh
_chemical_formula_sum 'Tb2 Nd2 Si2 Rh2'
_cell_length_a 4.103
_cell_length_b 4.252
_cell_length_c 10.580
_cell_angle_alpha 90.00
_cell_angle_beta 90.00
_cell_angle_gamma 90.00
_symmetry_space_group_name_H-M 'A m m 2'
_symmetry_Int_Tables_number 38
_symmetry_space_group_name_Hall 'A 2 -2'
loop_
_atom_site_label
_atom_site_fract_x
_atom_site_fract_y
_atom_site_fract_z
_atom_site_occupancy
Tb1 0.000 0.000 0.000 1
Nd1 0.500 0.000 0.718 1
Si1 0.000 0.000 0.298 1
Rh1 0.500 0.000 0.437 1
```

***

No. 7
## Tb2Nd2SiRh4 (PBE)

Data for a geometry-optimized Tb2Nd2SiRh4 structure.

Properties
electronic total energy: -6.5170 eV/atom
raw formation energy: -5.0 eV per formula unit

The structure in CIF format:
```
data_Tb2Nd2SiRh4
_chemical_formula_sum 'Tb4 Nd4 Si2 Rh8'
_cell_length_a 6.601
_cell_length_b 6.601
_cell_length_c 8.854
_cell_angle_alpha 90.00
_cell_angle_beta 90.00
_cell_angle_gamma 90.00
_symmetry_space_group_name_H-M 'I 4/m m m'
_symmetry_Int_Tables_number 139
_symmetry_space_group_name_Hall '-I 4 2'
loop_
_atom_site_label
_atom_site_fract_x
_atom_site_fract_y
_atom_site_fract_z
_atom_site_occupancy
Tb1 0.000 0.000 0.182 1
Nd1 0.000 0.500 0.250 1
Si1 0.000 0.000 0.500 1
Rh1 0.250 0.250 0.000 1
```

***

No. 8
## Nd2ThSi3Rh12 (PBE)

Data for a geometry-optimized Nd2ThSi3Rh12 structure.

Properties
electronic total energy: -7.1401 eV/atom
raw formation energy: -7.1 eV per formula unit

The structure in CIF format:
```
data_Nd2ThSi3Rh12
_chemical_formula_sum 'Nd6 Th3 Si9 Rh36'
_cell_length_a 9.1424
_cell_length_b 9.1424
_cell_length_c 12.8255
_cell_angle_alpha 90.00
_cell_angle_beta 90.00
_cell_angle_gamma 120.00
_symmetry_space_group_name_H-M 'R -3 m'
_symmetry_Int_Tables_number 166
_symmetry_space_group_name_Hall '-R 3 2"'
loop_
_atom_site_label
_atom_site_fract_x
_atom_site_fract_y
_atom_site_fract_z
_atom_site_occupancy
Nd1 0.0000 0.0000 0.1338 1
Th1 0.0000 0.0000 0.5000 1
Si1 0.0000 0.5000 0.0000 1
Rh1 0.0073 0.5037 0.8194 1
Rh2 0.0308 0.5154 0.3875 1
```

***

No. 9
## NdYSiRh (PBE)

Data for a geometry-optimized NdYSiRh structure.

Properties
electronic total energy: -6.7935 eV/atom
raw formation energy: -3.2 eV per formula unit

The structure in CIF format:
```
data_NdYSiRh
_chemical_formula_sum 'Nd2 Y2 Si2 Rh2'
_cell_length_a 4.146
_cell_length_b 4.278
_cell_length_c 10.414
_cell_angle_alpha 90.00
_cell_angle_beta 90.00
_cell_angle_gamma 90.00
_symmetry_space_group_name_H-M 'A m m 2'
_symmetry_Int_Tables_number 38
_symmetry_space_group_name_Hall 'A 2 -2'
loop_
_atom_site_label
_atom_site_fract_x
_atom_site_fract_y
_atom_site_fract_z
_atom_site_occupancy
Nd1 0.000 0.000 0.000 1
Y1 0.500 0.000 0.283 1
Si1 0.500 0.000 0.582 1
Rh1 0.000 0.000 0.718 1
```

***

No. 10
## NdZnSi2Rh (PBE)

Data for a geometry-optimized NdZnSi2Rh structure.

Properties
electronic total energy: -5.6104 eV/atom
raw formation energy: -3.8 eV per formula unit

The structure in CIF format:
```
data_NdZnSi2Rh
_chemical_formula_sum 'Nd2 Zn2 Si4 Rh2'
_cell_length_a 4.079
_cell_length_b 4.079
_cell_length_c 10.466
_cell_angle_alpha 90.00
_cell_angle_beta 90.00
_cell_angle_gamma 90.00
_symmetry_space_group_name_H-M 'I -4 m 2'
_symmetry_Int_Tables_number 119
_symmetry_space_group_name_Hall 'I -4 -2'
loop_
_atom_site_label
_atom_site_fract_x
_atom_site_fract_y
_atom_site_fract_z
_atom_site_occupancy
Nd1 0.000 0.000 0.000 1
Zn1 0.000 0.500 0.750 1
Si1 0.000 0.000 0.385 1
Rh1 0.000 0.500 0.250 1
```

***

No. 11
## Nd2ZnSi2Rh5 (PBE)

Data for a geometry-optimized Nd2ZnSi2Rh5 structure.

Properties
electronic total energy: -6.6440 eV/atom
raw formation energy: -8.0 eV per formula unit

The structure in CIF format:
```
data_Nd2ZnSi2Rh5
_chemical_formula_sum 'Nd4 Zn2 Si4 Rh10'
_cell_length_a 9.932
_cell_length_b 9.932
_cell_length_c 3.461
_cell_angle_alpha 90.00
_cell_angle_beta 90.00
_cell_angle_gamma 90.00
_symmetry_space_group_name_H-M 'P 4/m b m'
_symmetry_Int_Tables_number 127
_symmetry_space_group_name_Hall '-P 4 2ab'
loop_
_atom_site_label
_atom_site_fract_x
_atom_site_fract_y
_atom_site_fract_z
_atom_site_occupancy
Nd1 0.175 0.325 0.000 1
Zn1 0.000 0.000 0.000 1
Si1 0.124 0.624 0.000 1
Rh1 0.000 0.500 0.500 1
Rh2 0.067 0.786 0.500 1
```